Here is a relaxed structure of AsPd2I from Alexandria. Energies are from PBEsol.

* total energy: -18.3 eV for the cell shown
* size of the total moment: 0.0 μB/cell
* raw formation energy: 0.45 eV per formula unit
* SG: No. 225

Cell lengths 4.679, 4.679, 4.679 Å; angles 60.00, 60.00, 60.00 degrees
Sites, in units of the cell vectors:
I 0.500 0.500 0.500
As 0.000 0.000 0.000
Pd 0.250 0.250 0.250
Pd 0.750 0.750 0.750